A plane-wave DFT calculation with PBE-GGA was carried out for KGaMoH2 after structural relaxation.

* DFT total energy: -3.15 eV per atom
* ρ: 3.24 g/cm³
* magnetic moment: 4.7 μB/f.u.

Structure (CIF):
```
data_KGaMoH2
_chemical_formula_sum 'K1 Ga1 Mo1 H2'
_space_group_name_H-M_alt 'P 4/m m m'
_space_group_IT_number 123
_space_group_name_Hall '-P 4 2'
_cell_length_a 4.5102
_cell_length_b 4.5102
_cell_length_c 5.2071
_cell_angle_alpha 90.00
_cell_angle_beta 90.00
_cell_angle_gamma 90.00
loop_
_atom_site_label
_atom_site_type_symbol
_atom_site_fract_x
_atom_site_fract_y
_atom_site_fract_z
K1 K 0.0000 0.0000 0.0000
Ga1 Ga 0.5000 0.5000 0.5000
Mo1 Mo 0.5000 0.5000 0.0000
H1 H 0.0000 0.5000 0.5000
```

***

A plane-wave DFT calculation with PBE-GGA was carried out for K2NaGaH6 after structural relaxation.

* DFT total energy: -2.76 eV per atom
* ρ: 1.88 g/cm³
* magnetic moment: 0.0 μB/f.u.

Structure (CIF):
```
data_K2NaGaH6
_chemical_formula_sum 'K2 Na1 Ga1 H6'
_space_group_name_H-M_alt 'P -3 m 1'
_space_group_IT_number 164
_space_group_name_Hall '-P 3 2"'
_cell_length_a 5.7092
_cell_length_b 5.7092
_cell_length_c 5.5404
_cell_angle_alpha 90.00
_cell_angle_beta 90.00
_cell_angle_gamma 120.00
loop_
_atom_site_label
_atom_site_type_symbol
_atom_site_fract_x
_atom_site_fract_y
_atom_site_fract_z
K1 K 0.3333 0.6667 0.3304
Na1 Na 0.0000 0.0000 0.0000
Ga1 Ga 0.0000 0.0000 0.5000
H1 H 0.1476 0.2952 0.6899
```

***

A plane-wave DFT calculation with PBE-GGA was carried out for K2GaPH after structural relaxation.

* DFT total energy: -3.05 eV per atom
* ρ: 2.34 g/cm³
* magnetic moment: 0.0 μB/f.u.

Structure (CIF):
```
data_K2GaPH
_chemical_formula_sum 'K4 Ga2 P2 H2'
_space_group_name_H-M_alt 'P 1 21/m 1'
_space_group_IT_number 11
_cell_length_a 6.4676
_cell_length_b 4.0065
_cell_length_c 10.0630
_cell_angle_alpha 90.00
_cell_angle_beta 102.09
_cell_angle_gamma 90.00
loop_
_space_group_symop_operation_xyz
'x,y,z'
'-x,-y,-z'
'-x,y+1/2,-z'
'x,-y+1/2,z'
loop_
_atom_site_label
_atom_site_type_symbol
_atom_site_fract_x
_atom_site_fract_y
_atom_site_fract_z
K1 K 0.2095 0.2500 0.4219
K2 K 0.2669 0.7500 0.0597
Ga1 Ga 0.3374 0.7500 0.7345
P1 P 0.1605 0.2500 0.7805
H1 H 0.3661 0.7500 0.5725
```

***

A plane-wave DFT calculation with PBE-GGA was carried out for K2Ga2P2H after structural relaxation.

* DFT total energy: -3.41 eV per atom
* ρ: 2.94 g/cm³
* magnetic moment: 0.0 μB/f.u.

Structure (CIF):
```
data_K2Ga2P2H
_chemical_formula_sum 'K2 Ga2 P2 H1'
_space_group_name_H-M_alt 'P -1'
_space_group_IT_number 2
_cell_length_a 3.9526
_cell_length_b 6.2658
_cell_length_c 7.0285
_cell_angle_alpha 114.55
_cell_angle_beta 90.12
_cell_angle_gamma 90.26
loop_
_space_group_symop_operation_xyz
'x,y,z'
'-x,-y,-z'
loop_
_atom_site_label
_atom_site_type_symbol
_atom_site_fract_x
_atom_site_fract_y
_atom_site_fract_z
K1 K 0.0033 0.4773 0.2355
Ga1 Ga 0.4990 0.0970 0.8616
P1 P 0.0024 0.0420 0.3602
H1 H 0.5000 0.5000 0.0000
```